[1]
Below is a relaxed Li2InAg8 crystal, with properties calculated at the PBE level.

Summary:
The value obtained for the formation energy is -0.06 eV/atom. For the theoretical density, the calculation gives 8.26 g cm⁻³.

Cell lengths 4.479, 7.134, 7.530 Å; angles 118.28, 107.30, 90.00 degrees
Sites, in units of the cell vectors:
Li  0.204  0.704  0.407
Li  0.796  0.296  0.593
In  0.500  0.000  0.000
Ag  0.653  0.858  0.305
Ag  0.347  0.552  0.695
Ag  0.154  0.154  0.308
Ag  0.000  0.305  0.000
Ag  0.846  0.846  0.692
Ag  0.653  0.448  0.305
Ag  0.347  0.142  0.695
Ag  0.000  0.695  0.000


[2]
Below is a relaxed Sb2RhBr crystal, with properties calculated at the PBE level.

Summary:
For the theoretical density, the calculation gives 5.35 g cm⁻³. The value obtained for the uncorrected formation energy is -24 meV per atom.

Cell lengths 6.513, 6.513, 7.752 Å; angles 65.16, 65.16, 90.00 degrees
Sites, in units of the cell vectors:
Sb  0.713  0.125  0.250
Sb  0.037  0.625  0.250
Sb  0.375  0.287  0.750
Sb  0.875  0.963  0.750
Rh  0.000  0.000  0.000
Rh  0.750  0.250  0.500
Br  0.500  0.500  0.000
Br  0.250  0.750  0.500


[3]
Below is a relaxed Ac6AgIr2I3 crystal, with properties calculated at the PBE level.

Summary:
For the theoretical density, the calculation gives 8.21 g cm⁻³. The value obtained for the uncorrected formation energy is -933 meV per atom.

Cell lengths 7.764, 7.764, 9.037 Å; angles 98.23, 98.23, 120.00 degrees
Sites, in units of the cell vectors:
Ac  0.937  0.581  0.812
Ac  0.707  0.707  0.187
Ac  0.063  0.419  0.188
Ac  0.581  0.937  0.812
Ac  0.293  0.293  0.813
Ac  0.419  0.063  0.188
Ag  0.000  0.000  0.000
Ir  0.333  0.667  0.000
Ir  0.667  0.333  0.000
I  0.165  0.835  0.500
I  0.835  0.165  0.500
I  0.500  0.500  0.500


[4]
Below is a relaxed SmIr4Au crystal, with properties calculated at the PBE level.

Summary:
The value obtained for the formation energy is -0.21 eV/atom. For the theoretical density, the calculation gives 17.42 g cm⁻³.

Cell lengths 5.319, 5.319, 5.319 Å; angles 60.00, 60.00, 60.00 degrees
Sites, in units of the cell vectors:
Ir  0.625  0.625  0.126
Ir  0.625  0.126  0.625
Ir  0.625  0.625  0.625
Ir  0.126  0.625  0.625
Au  0.250  0.250  0.250
Sm  0.000  0.000  0.000